VASP calculation (PBE) on crystalline Mg2Bi3Pb3 at its relaxed geometry.

Cell: 4.741 13.692 7.790 Å, 90.00 90.00 90.00°
Element x y z (fractional)
Mg 0.250 0.035 0.137
Mg 0.250 0.465 0.137
Mg 0.750 0.535 0.863
Mg 0.750 0.965 0.863
Bi 0.250 0.091 0.755
Bi 0.250 0.250 0.237
Bi 0.250 0.409 0.755
Bi 0.750 0.591 0.245
Bi 0.750 0.750 0.763
Bi 0.750 0.909 0.245
Pb 0.250 0.622 0.549
Pb 0.250 0.750 0.064
Pb 0.250 0.878 0.549
Pb 0.750 0.122 0.451
Pb 0.750 0.250 0.936
Pb 0.750 0.378 0.451

Results
- Raw total energy: -0.12081 Ha/atom
- N(E_F): 0.39 states/eV per atom
- Magnetic moment: 0.0 μB per cell
- SG: Pmmn, No. 59

---

VASP calculation (PBE) on crystalline Mg5BiPb4 at its relaxed geometry.

Cell: 3.680 3.680 19.468 Å, 90.00 90.00 90.00°
Element x y z (fractional)
Mg 0.000 0.000 0.000
Mg 0.000 0.000 0.200
Mg 0.000 0.000 0.401
Mg 0.000 0.000 0.599
Mg 0.000 0.000 0.800
Bi 0.500 0.500 0.500
Pb 0.500 0.500 0.100
Pb 0.500 0.500 0.299
Pb 0.500 0.500 0.701
Pb 0.500 0.500 0.900

Results
- Raw total energy: -0.09985 Ha/atom
- N(E_F): 0.36 states/eV per atom
- Magnetic moment: 0.0 μB per cell
- SG: P4/mmm, No. 123

---

VASP calculation (PBE) on crystalline MgBiPb2 at its relaxed geometry.

Cell: 4.824 4.831 10.265 Å, 90.00 93.52 90.00°
Element x y z (fractional)
Mg 0.014 0.250 0.373
Mg 0.986 0.750 0.627
Bi 0.423 0.250 0.614
Bi 0.577 0.750 0.386
Pb 0.002 0.750 0.132
Pb 0.498 0.250 0.130
Pb 0.502 0.750 0.870
Pb 0.998 0.250 0.868

Results
- Raw total energy: -0.11952 Ha/atom
- N(E_F): 0.38 states/eV per atom
- Magnetic moment: 0.0 μB per cell
- SG: P2_1/m, No. 11

---

VASP calculation (PBE) on crystalline MgBiPb4 at its relaxed geometry.

Cell: 8.215 8.215 9.649 Å, 90.00 90.00 145.96°
Element x y z (fractional)
Mg 0.167 0.833 0.500
Mg 0.833 0.167 0.000
Bi 0.332 0.668 0.228
Bi 0.668 0.332 0.728
Pb 0.004 0.996 0.253
Pb 0.167 0.833 0.994
Pb 0.331 0.669 0.757
Pb 0.496 0.504 0.000
Pb 0.504 0.496 0.500
Pb 0.669 0.331 0.257
Pb 0.833 0.167 0.494
Pb 0.996 0.004 0.753

Results
- Raw total energy: -0.12447 Ha/atom
- N(E_F): 0.51 states/eV per atom
- Magnetic moment: 0.0 μB per cell
- SG: Cmc2_1, No. 36

---

VASP calculation (PBE) on crystalline MgBiPb2 at its relaxed geometry.

Cell: 3.458 3.458 35.959 Å, 90.00 90.00 120.00°
Element x y z (fractional)
Mg 0.000 0.000 0.000
Mg 0.333 0.667 0.667
Mg 0.667 0.333 0.333
Bi 0.000 0.000 0.500
Bi 0.333 0.667 0.167
Bi 0.667 0.333 0.833
Pb 0.000 0.000 0.084
Pb 0.000 0.000 0.916
Pb 0.333 0.667 0.583
Pb 0.333 0.667 0.751
Pb 0.667 0.333 0.249
Pb 0.667 0.333 0.417

Results
- Raw total energy: -0.11341 Ha/atom
- N(E_F): 0.53 states/eV per atom
- Magnetic moment: 0.0 μB per cell
- SG: R-3m, No. 166

---

VASP calculation (PBE) on crystalline Mg2Bi2Pb at its relaxed geometry.

Cell: 9.067 9.067 3.522 Å, 90.00 90.00 90.00°
Element x y z (fractional)
Mg 0.135 0.365 0.000
Mg 0.365 0.865 0.000
Mg 0.635 0.135 0.000
Mg 0.865 0.635 0.000
Bi 0.163 0.663 0.500
Bi 0.337 0.163 0.500
Bi 0.663 0.837 0.500
Bi 0.837 0.337 0.500
Pb 0.000 0.000 0.500
Pb 0.500 0.500 0.500

Results
- N(E_F): 0.52 states/eV per atom
- Polymorph energy (0 for the lowest one): 14 meV per atom
- Magnetic moment: 0.0 μB per cell
- SG: P4/mbm, No. 127